(1)
Material: LaTbPrEr
Method: DFT, PBE
State: optimized geometry

DOS(E_F), states/eV/f.u.: 7.3
Symmetry: F-43m
Formation energy from the elements, eV/atom: 0.0967
Crystal system: cubic
Excess energy over the best structure of this formula in the dataset, eV/f.u.: 0.27

a b c (Å): 5.7837 5.7837 5.7837
angles (deg): 60.00 60.00 60.00
Sites, in units of the cell vectors:
Pr: 0.7500 0.7500 0.7500
La: 0.2500 0.2500 0.2500
Tb: 0.0000 0.0000 0.0000
Er: 0.5000 0.5000 0.5000

(2)
Material: CeGaCuRh
Method: DFT, PBE
State: optimized geometry

DOS(E_F), states/eV/f.u.: 4.3
Symmetry: F-43m
Formation energy from the elements, eV/atom: -0.4130
Crystal system: cubic

a b c (Å): 4.6624 4.6624 4.6624
angles (deg): 60.00 60.00 60.00
Sites, in units of the cell vectors:
Cu: 0.2500 0.2500 0.2500
Rh: 0.7500 0.7500 0.7500
Ga: 0.5000 0.5000 0.5000
Ce: 0.0000 0.0000 0.0000

(3)
Material: BeCo2Mo
Method: DFT, PBE
State: optimized geometry

DOS(E_F), states/eV/f.u.: 3.6
Symmetry: R-3m
Formation energy from the elements, eV/atom: 0.1356
Crystal system: trigonal

a b c (Å): 7.9340 7.9340 7.9340
angles (deg): 18.96 18.96 18.96
Sites, in units of the cell vectors:
Be: 0.7500 0.7500 0.7500
Mo: 0.2500 0.2500 0.2500
Co: 0.0095 0.0095 0.0095
Co: 0.4905 0.4905 0.4905

(4)
Material: TiTl3Ge
Method: DFT, PBE
State: optimized geometry

DOS(E_F), states/eV/f.u.: 13.0
Symmetry: Pm-3m
Formation energy from the elements, eV/atom: 0.9567
Crystal system: cubic
Excess energy over the best structure of this formula in the dataset, eV/f.u.: 1.41

a b c (Å): 5.3910 5.3910 5.3910
angles (deg): 90.00 90.00 90.00
Sites, in units of the cell vectors:
Tl: 0.0000 0.5000 0.0000
Tl: 0.0000 0.0000 0.5000
Tl: 0.5000 0.0000 0.0000
Ge: 0.0000 0.0000 0.0000
Ti: 0.5000 0.5000 0.5000

(5)
Material: CsBeFeH6
Method: DFT, PBE
State: optimized geometry

Final energy, eV/atom: -3.7473
DOS(E_F), states/eV/f.u.: 1.2
Symmetry: C2
Crystal system: monoclinic

a b c (Å): 4.3646 4.1829 6.2893
angles (deg): 89.19 88.46 58.56
Sites, in units of the cell vectors:
Cs: 0.9985 0.0026 0.0000
Be: 0.6707 0.6585 0.5000
Fe: 0.3188 0.3625 0.5000
H: 0.0184 0.4123 0.3438
H: 0.4104 0.0223 0.6486
H: 0.5693 0.4123 0.6562
H: 0.9929 0.5536 0.6663
H: 0.4536 0.5536 0.3336
H: 0.5672 0.0224 0.3514

(6)
Material: CaTb3Nd5
Method: DFT, PBE
State: optimized geometry

DOS(E_F), states/eV/f.u.: 12.0
Symmetry: C2/c
Formation energy from the elements, eV/atom: 0.1862
Crystal system: monoclinic

a b c (Å): 6.9099 12.6739 11.8520
angles (deg): 138.02 90.00 105.82
Sites, in units of the cell vectors:
Ca: 0.7755 0.0000 0.7500
Ca: 0.2245 0.0000 0.2500
Tb: 0.0000 0.0000 0.0000
Tb: 0.3692 0.5131 0.3779
Tb: 0.0000 0.0000 0.5000
Tb: 0.6308 0.4869 0.6221
Tb: 0.1438 0.5131 0.8779
Tb: 0.8562 0.4869 0.1221
Nd: 0.3127 0.0000 0.7500
Nd: 0.7016 0.6434 0.0136
Nd: 0.6031 0.2171 0.1739
Nd: 0.2984 0.3566 0.9864
Nd: 0.3861 0.7829 0.3261
Nd: 0.6873 0.0000 0.2500
Nd: 0.9418 0.6434 0.5136
Nd: 0.0582 0.3566 0.4864
Nd: 0.6139 0.2171 0.6739
Nd: 0.3969 0.7829 0.8261

(7)
Material: SiPbC3
Method: DFT, PBE
State: optimized geometry

E_form (uncorrected), eV/atom: 1.97
DOS(E_F), states/eV/f.u.: 2.7
Symmetry: Pm-3m
Crystal system: cubic
Excess energy over the best structure of this formula in the dataset, eV/f.u.: 0.00

a b c (Å): 3.9364 3.9364 3.9364
angles (deg): 90.00 90.00 90.00
Sites, in units of the cell vectors:
Pb: 0.5000 0.5000 0.5000
Si: 0.0000 0.0000 0.0000
C: 0.0000 0.5000 0.0000
C: 0.0000 0.0000 0.5000
C: 0.5000 0.0000 0.0000

(8)
Material: Sr2TlP
Method: DFT, PBE
State: optimized geometry

DOS(E_F), states/eV/f.u.: 2.0
Symmetry: P4mm
Formation energy from the elements, eV/atom: -0.2686
Crystal system: tetragonal
Excess energy over the best structure of this formula in the dataset, eV/f.u.: 1.54

a b c (Å): 3.9641 3.9641 8.6279
angles (deg): 90.00 90.00 90.00
Sites, in units of the cell vectors:
Sr: 0.0000 0.0000 0.9139
Sr: 0.5000 0.5000 0.3245
Tl: 0.0000 0.0000 0.5528
P: 0.5000 0.5000 0.7087